1.
Here is crystalline Ba2NaLu at its relaxed geometry from the Alexandria database. Energies are from GGA-PBE.

space group	P4/mmm, No. 123
DOS at the Fermi energy	6.75	states/eV/f.u.
energy above the lowest structure with this stoichiometry	0.000	eV/atom

Unit cell a=4.4542 b=4.4542 c=9.3854 alpha=90.00 beta=90.00 gamma=90.00
Fractional coordinates of all 4 atoms:
1 Na 0.5000 0.5000 0.5000
2 Lu 0.5000 0.5000 0.0000
3 Ba 0.0000 0.0000 0.7619
4 Ba 0.0000 0.0000 0.2381

***

2.
Here is crystalline SrLi3MgCd at its relaxed geometry from the Alexandria database. Energies are from GGA-PBE.

space group	Cmcm, No. 63
DOS at the Fermi energy	3.54	states/eV/f.u.
E	-10.17	eV/f.u.

Unit cell a=6.0725 b=5.8830 c=9.2450 alpha=108.55 beta=90.00 gamma=90.00
Fractional coordinates of all 12 atoms:
1 Sr 0.7500 0.2916 0.5831
2 Sr 0.2500 0.7084 0.4169
3 Li 0.2500 0.1113 0.2226
4 Li 0.0000 0.2790 0.0000
5 Li 0.5000 0.7210 0.0000
6 Li 0.5000 0.2790 0.0000
7 Li 0.0000 0.7210 0.0000
8 Li 0.7500 0.8887 0.7774
9 Mg 0.2500 0.8980 0.7960
10 Mg 0.7500 0.1020 0.2040
11 Cd 0.2500 0.3727 0.7454
12 Cd 0.7500 0.6273 0.2546

***

3.
Here is crystalline AcPmGeIr at its relaxed geometry from the Alexandria database. Energies are from GGA-PBE.

space group	P4/nmm, No. 129
DOS at the Fermi energy	3.30	states/eV/f.u.
energy above the lowest structure with this stoichiometry	0.000	eV/atom

Unit cell a=4.7717 b=4.7717 c=10.3382 alpha=90.00 beta=90.00 gamma=90.00
Fractional coordinates of all 8 atoms:
1 Ac 0.0000 0.5000 0.8168
2 Ac 0.5000 0.0000 0.1832
3 Pm 0.0000 0.0000 0.5000
4 Pm 0.5000 0.5000 0.5000
5 Ge 0.5000 0.0000 0.8868
6 Ge 0.0000 0.5000 0.1132
7 Ir 0.0000 0.5000 0.3422
8 Ir 0.5000 0.0000 0.6578

***

4.
Here is crystalline ScAlNi2 at its relaxed geometry from the Alexandria database. Energies are from GGA-PBE.

space group	Amm2, No. 38
DOS at the Fermi energy	1.28	states/eV/f.u.
E	-23.61	eV/f.u.

Unit cell a=4.0049 b=3.1498 c=4.8861 alpha=71.21 beta=90.00 gamma=90.00
Fractional coordinates of all 4 atoms:
1 Sc 0.0000 0.4748 0.4259
2 Ni 0.0000 0.2041 0.9658
3 Ni 0.5000 0.0513 0.2731
4 Al 0.5000 0.7698 0.8352

***

5.
Here is crystalline PaCdPt2 at its relaxed geometry from the Alexandria database. Energies are from GGA-PBE.

space group	Fm-3m, No. 225
DOS at the Fermi energy	2.06	states/eV/f.u.
E	-25.52	eV/f.u.

Unit cell a=4.8423 b=4.8423 c=4.8444 alpha=60.01 beta=60.02 gamma=60.00
Fractional coordinates of all 4 atoms:
1 Pa 0.2500 0.2500 0.2500
2 Pt 0.0001 0.0001 0.9998
3 Pt 0.4999 0.4999 0.5002
4 Cd 0.7500 0.7500 0.7500

***

6.
Here is crystalline La2PdAu2 at its relaxed geometry from the Alexandria database. Energies are from GGA-PBE.

space group	C2/m, No. 12
DOS at the Fermi energy	3.21	states/eV/f.u.
energy above the lowest structure with this stoichiometry	0.000	eV/atom

Unit cell a=4.1871 b=5.8866 c=11.2236 alpha=91.14 beta=79.25 gamma=69.17
Fractional coordinates of all 10 atoms:
1 La 0.6737 0.3076 0.3451
2 La 0.9314 0.2525 0.8848
3 La 0.3263 0.6924 0.6549
4 La 0.0686 0.7475 0.1152
5 Pd 0.6059 0.0964 0.6917
6 Pd 0.3941 0.9036 0.3083
7 Au 0.0864 0.2695 0.5578
8 Au 0.6512 0.8069 0.8906
9 Au 0.9136 0.7305 0.4422
10 Au 0.3488 0.1931 0.1094

***

7.
Here is crystalline KSnPb at its relaxed geometry from the Alexandria database. Energies are from GGA-PBE.

space group	P-1, No. 2
DOS at the Fermi energy	1.26	states/eV/f.u.
energy above the lowest structure with this stoichiometry	0.071	eV/atom

Unit cell a=4.7976 b=6.0834 c=8.1360 alpha=91.27 beta=85.86 gamma=77.80
Fractional coordinates of all 6 atoms:
1 K 0.0099 0.1436 0.5708
2 K 0.7476 0.1729 0.1148
3 Sn 0.6136 0.6725 0.4402
4 Sn 0.1434 0.6441 0.2456
5 Pb 0.5810 0.8136 0.8037
6 Pb 0.1763 0.5032 0.8820

***

8.
Here is crystalline TmScNi2 at its relaxed geometry from the Alexandria database. Energies are from GGA-PBE.

space group	Amm2, No. 38
DOS at the Fermi energy	2.96	states/eV/f.u.
energy above the lowest structure with this stoichiometry	0.000	eV/atom

Unit cell a=3.5777 b=4.0874 c=5.2276 alpha=90.00 beta=110.07 gamma=90.00
Fractional coordinates of all 4 atoms:
1 Tm 0.7256 0.0000 0.9909
2 Sc 0.4449 0.5000 0.4291
3 Ni 0.1534 0.5000 0.8460
4 Ni 0.0070 0.0000 0.5520